First-principles (PBE-GGA) data for a geometry-optimized TlOsW2 structure, as listed in Alexandria via LeMat-Bulk.

```
TlOsW2
1.0
2.884 0.000 0.000
0.000 2.884 0.000
0.000 0.000 8.267
Os W Tl
1 2 1
direct
0.500 0.500 0.250 Os
0.000 0.000 0.030 W
0.000 0.000 0.470 W
0.500 0.500 0.750 Tl
```

Results
The energy of formation is 2.2 eV/f.u. As for the total DFT energy (no corrections): -37.33 eV/cell. For the magnetic moment, the calculation gives 0.0 μB/f.u.